(1)
Density functional theory data (GGA+U) for an optimized crystal structure of Li7Mn4CoO12.

Unit cell a=5.041 b=5.812 c=7.949 alpha=79.30 beta=80.48 gamma=73.27
Atoms (fractional coordinates):
Li (0.501, 0.332, 0.168)
Li (0.981, 0.839, 0.663)
Li (0.991, 0.167, 0.347)
Li (0.514, 0.665, 0.824)
Li (0.466, 0.003, 0.523)
Li (0.033, 0.497, 0.970)
Li (0.996, 0.335, 0.666)
Mn (0.011, 0.003, 0.990)
Mn (0.494, 0.497, 0.512)
Mn (0.501, 0.833, 0.163)
Mn (0.995, 0.662, 0.344)
Co (0.519, 0.168, 0.824)
O (0.754, 0.307, 0.921)
O (0.239, 0.813, 0.426)
O (0.249, 0.148, 0.083)
O (0.722, 0.663, 0.580)
O (0.774, 0.978, 0.224)
O (0.287, 0.480, 0.737)
O (0.250, 0.354, 0.417)
O (0.772, 0.853, 0.909)
O (0.725, 0.183, 0.580)
O (0.255, 0.688, 0.078)
O (0.249, 0.013, 0.777)
O (0.723, 0.518, 0.275)

Properties
Total magnetic moment in μB/f.u.: 16.00
Polymorph energy (0 for the lowest one) in eV/atom: 0.023
Space-group type: P1

(2)
Density functional theory data (GGA+U) for an optimized crystal structure of Li7Mn4CoO12.

Unit cell a=2.929 b=7.775 c=10.189 alpha=108.18 beta=89.30 gamma=99.91
Atoms (fractional coordinates):
Li (0.801, 0.649, 0.756)
Li (0.160, 0.326, 0.254)
Li (0.535, 0.008, 0.753)
Li (0.173, 0.337, 0.753)
Li (0.495, 0.997, 0.247)
Li (0.833, 0.680, 0.240)
Li (0.333, 0.666, 0.999)
Mn (0.004, 0.991, 0.004)
Mn (0.671, 0.341, 0.997)
Mn (0.313, 0.665, 0.498)
Mn (0.012, 0.008, 0.499)
Co (0.668, 0.333, 0.503)
O (0.448, 0.860, 0.890)
O (0.752, 0.523, 0.386)
O (0.099, 0.177, 0.894)
O (0.739, 0.482, 0.883)
O (0.095, 0.168, 0.382)
O (0.376, 0.829, 0.384)
O (0.247, 0.514, 0.617)
O (0.578, 0.155, 0.107)
O (0.885, 0.817, 0.605)
O (0.629, 0.154, 0.623)
O (0.929, 0.848, 0.116)
O (0.227, 0.473, 0.111)

Properties
Fermi-level density of states in states/eV/cell: 1.0
Total magnetic moment in μB/f.u.: 16.00
Polymorph energy (0 for the lowest one) in eV/atom: 0.039
Space-group type: P1

(3)
Density functional theory data (GGA+U) for an optimized crystal structure of Li4MnCo2O7.

Unit cell a=2.936 b=8.094 c=10.883 alpha=78.22 beta=83.42 gamma=90.12
Atoms (fractional coordinates):
Li (0.185, 0.067, 0.690)
Li (0.842, 0.918, 0.302)
Li (0.597, 0.784, 0.842)
Li (0.706, 0.353, 0.587)
Li (0.417, 0.215, 0.148)
Li (0.271, 0.648, 0.453)
Li (0.014, 0.505, 0.985)
Li (0.723, 0.856, 0.573)
Mn (0.978, 0.999, 0.002)
Mn (0.854, 0.433, 0.283)
Co (0.417, 0.716, 0.141)
Co (0.156, 0.589, 0.709)
Co (0.592, 0.288, 0.855)
Co (0.288, 0.122, 0.434)
O (0.532, 0.032, 0.881)
O (0.291, 0.904, 0.422)
O (0.969, 0.754, 0.018)
O (0.169, 0.316, 0.733)
O (0.853, 0.200, 0.286)
O (0.715, 0.596, 0.582)
O (0.408, 0.475, 0.155)
O (0.736, 0.121, 0.558)
O (0.426, 0.959, 0.127)
O (0.150, 0.810, 0.719)
O (0.303, 0.407, 0.401)
O (0.972, 0.235, 0.996)
O (0.865, 0.680, 0.261)
O (0.571, 0.520, 0.856)

Properties
Fermi-level density of states in states/eV/cell: 0.9
Total magnetic moment in μB/f.u.: 8.00
Polymorph energy (0 for the lowest one) in eV/atom: 0.067
Space-group type: P1

(4)
Density functional theory data (GGA+U) for an optimized crystal structure of Li7Mn4CoO12.

Unit cell a=5.106 b=5.106 c=15.359 alpha=81.24 beta=81.24 gamma=32.96
Atoms (fractional coordinates):
Li (0.248, 0.248, 0.087)
Li (0.746, 0.746, 0.256)
Li (0.245, 0.245, 0.418)
Li (0.749, 0.749, 0.594)
Li (0.273, 0.273, 0.738)
Li (0.752, 0.752, 0.904)
Li (0.002, 0.002, 0.665)
Mn (0.996, 0.996, 0.001)
Mn (0.495, 0.495, 0.504)
Mn (0.496, 0.496, 0.169)
Mn (0.998, 0.998, 0.334)
Co (0.516, 0.516, 0.814)
O (0.384, 0.384, 0.970)
O (0.886, 0.886, 0.126)
O (0.384, 0.384, 0.291)
O (0.889, 0.889, 0.455)
O (0.385, 0.385, 0.610)
O (0.887, 0.887, 0.795)
O (0.108, 0.108, 0.210)
O (0.609, 0.609, 0.376)
O (0.109, 0.109, 0.533)
O (0.632, 0.632, 0.713)
O (0.107, 0.107, 0.890)
O (0.605, 0.605, 0.046)

Properties
Fermi-level density of states in states/eV/cell: 0.5
Total magnetic moment in μB/f.u.: 12.00
Polymorph energy (0 for the lowest one) in eV/atom: 0.153
Space-group type: Cm

(5)
Density functional theory data (GGA+U) for an optimized crystal structure of Li7Mn4CoO12.

Unit cell a=5.861 b=14.693 c=5.895 alpha=100.47 beta=119.43 gamma=83.87
Atoms (fractional coordinates):
Li (0.166, 0.334, 0.500)
Li (0.167, 0.333, 0.000)
Li (0.675, 0.830, 0.748)
Li (0.658, 0.836, 0.251)
Li (0.167, 0.834, 0.251)
Li (0.166, 0.833, 0.749)
Li (0.351, 0.169, 0.264)
Li (0.351, 0.171, 0.770)
Li (0.982, 0.497, 0.737)
Li (0.982, 0.496, 0.230)
Li (0.840, 0.672, 0.509)
Li (0.845, 0.677, 0.022)
Li (0.494, 0.995, 0.491)
Li (0.488, 0.990, 0.978)
Mn (0.010, 0.993, 0.498)
Mn (0.323, 0.673, 0.502)
Mn (0.840, 0.167, 0.752)
Mn (0.494, 0.500, 0.248)
Mn (0.008, 0.994, 0.995)
Mn (0.326, 0.673, 0.005)
Mn (0.838, 0.166, 0.252)
Mn (0.495, 0.500, 0.748)
Co (0.667, 0.333, 0.000)
Co (0.667, 0.333, 0.500)
O (0.135, 0.074, 0.346)
O (0.141, 0.075, 0.850)
O (0.193, 0.591, 0.150)
O (0.198, 0.592, 0.654)
O (0.007, 0.244, 0.648)
O (0.995, 0.237, 0.107)
O (0.326, 0.422, 0.352)
O (0.338, 0.430, 0.893)
O (0.803, 0.421, 0.860)
O (0.805, 0.424, 0.361)
O (0.529, 0.243, 0.639)
O (0.531, 0.245, 0.141)
O (0.629, 0.577, 0.596)
O (0.638, 0.585, 0.136)
O (0.704, 0.090, 0.403)
O (0.695, 0.082, 0.864)
O (0.480, 0.742, 0.363)
O (0.485, 0.739, 0.861)
O (0.854, 0.925, 0.637)
O (0.848, 0.928, 0.139)
O (0.310, 0.923, 0.612)
O (0.313, 0.924, 0.116)
O (0.024, 0.743, 0.388)
O (0.021, 0.742, 0.884)

Properties
Fermi-level density of states in states/eV/cell: 0.1
Total magnetic moment in μB/f.u.: 16.00
Polymorph energy (0 for the lowest one) in eV/atom: 0.035
Space-group type: P-1

(6)
Density functional theory data (GGA+U) for an optimized crystal structure of Li5MnCo2O8.

Unit cell a=2.898 b=5.922 c=8.284 alpha=89.53 beta=90.00 gamma=90.00
Atoms (fractional coordinates):
Li (0.000, 0.000, 0.500)
Li (0.500, 0.258, 0.264)
Li (0.000, 0.500, 0.000)
Li (0.500, 0.742, 0.736)
Li (0.000, 0.500, 0.500)
Mn (0.000, 0.000, 0.000)
Co (0.500, 0.260, 0.727)
Co (0.500, 0.740, 0.273)
O (0.000, 0.521, 0.243)
O (0.500, 0.781, 0.998)
O (0.000, 0.020, 0.767)
O (0.500, 0.246, 0.513)
O (0.000, 0.479, 0.757)
O (0.500, 0.754, 0.487)
O (0.000, 0.980, 0.233)
O (0.500, 0.219, 0.002)

Properties
Fermi-level density of states in states/eV/cell: 4.7
Total magnetic moment in μB/f.u.: 10.00
Polymorph energy (0 for the lowest one) in eV/atom: 0.048
Space-group type: P2/m

(7)
Density functional theory data (GGA+U) for an optimized crystal structure of Li4MnCo2O7.

Unit cell a=5.122 b=7.618 c=7.727 alpha=119.49 beta=109.38 gamma=83.75
Atoms (fractional coordinates):
Li (0.507, 0.214, 0.077)
Li (0.507, 0.491, 0.502)
Li (0.502, 0.643, 0.216)
Li (0.501, 0.923, 0.636)
Li (0.503, 0.076, 0.362)
Li (0.485, 0.359, 0.778)
Li (0.497, 0.787, 0.928)
Li (0.000, 0.287, 0.429)
Mn (0.996, 0.001, 0.001)
Mn (0.003, 0.429, 0.145)
Co (0.999, 0.574, 0.859)
Co (0.005, 0.872, 0.297)
Co (0.993, 0.148, 0.704)
Co (0.003, 0.702, 0.569)
O (0.213, 0.974, 0.823)
O (0.226, 0.243, 0.228)
O (0.220, 0.403, 0.965)
O (0.234, 0.659, 0.381)
O (0.221, 0.822, 0.092)
O (0.242, 0.091, 0.529)
O (0.222, 0.549, 0.689)
O (0.774, 0.467, 0.309)
O (0.773, 0.756, 0.765)
O (0.767, 0.888, 0.467)
O (0.776, 0.183, 0.910)
O (0.770, 0.330, 0.630)
O (0.791, 0.605, 0.043)
O (0.771, 0.025, 0.166)

Properties
Total magnetic moment in μB/f.u.: 2.99
Polymorph energy (0 for the lowest one) in eV/atom: 0.034
Space-group type: P1

(8)
Density functional theory data (GGA+U) for an optimized crystal structure of Li4MnCo2O7.

Unit cell a=2.917 b=5.894 c=14.401 alpha=83.30 beta=84.35 gamma=88.93
Atoms (fractional coordinates):
Li (0.005, 0.495, 0.987)
Li (0.583, 0.785, 0.853)
Li (0.143, 0.079, 0.724)
Li (0.422, 0.216, 0.141)
Li (0.854, 0.927, 0.286)
Li (0.297, 0.652, 0.434)
Li (0.697, 0.354, 0.573)
Li (0.587, 0.290, 0.853)
Mn (0.023, 0.007, 0.992)
Mn (0.831, 0.429, 0.288)
Co (0.153, 0.568, 0.718)
Co (0.718, 0.852, 0.575)
Co (0.255, 0.135, 0.433)
Co (0.439, 0.717, 0.141)
O (0.523, 0.774, 0.003)
O (0.080, 0.030, 0.865)
O (0.658, 0.358, 0.711)
O (0.892, 0.477, 0.146)
O (0.279, 0.184, 0.295)
O (0.810, 0.900, 0.439)
O (0.220, 0.633, 0.581)
O (0.512, 0.223, 0.998)
O (0.089, 0.542, 0.843)
O (0.651, 0.793, 0.709)
O (0.980, 0.952, 0.134)
O (0.382, 0.676, 0.280)
O (0.702, 0.374, 0.429)
O (0.215, 0.076, 0.570)

Properties
Fermi-level density of states in states/eV/cell: 0.2
Total magnetic moment in μB/f.u.: 6.01
Polymorph energy (0 for the lowest one) in eV/atom: 0.068
Space-group type: P1

(9)
Density functional theory data (GGA+U) for an optimized crystal structure of Li7Mn4CoO12.

Unit cell a=5.896 b=5.948 c=6.541 alpha=103.24 beta=104.09 gamma=88.45
Atoms (fractional coordinates):
Li (0.168, 0.159, 0.651)
Li (0.835, 0.335, 0.337)
Li (0.499, 0.512, 0.014)
Li (0.169, 0.675, 0.659)
Li (0.819, 0.817, 0.335)
Li (0.501, 0.993, 0.004)
Li (0.334, 0.834, 0.338)
Mn (0.002, 0.996, 0.000)
Mn (0.339, 0.338, 0.332)
Mn (0.662, 0.163, 0.664)
Mn (0.002, 0.504, 0.003)
Co (0.657, 0.670, 0.663)
O (0.908, 0.937, 0.677)
O (0.579, 0.102, 0.351)
O (0.251, 0.277, 0.018)
O (0.903, 0.405, 0.688)
O (0.568, 0.564, 0.339)
O (0.215, 0.738, 0.989)
O (0.419, 0.393, 0.646)
O (0.093, 0.566, 0.317)
O (0.762, 0.728, 0.005)
O (0.442, 0.942, 0.678)
O (0.100, 0.100, 0.310)
O (0.772, 0.252, 0.984)

Properties
Total magnetic moment in μB/f.u.: 15.95
Polymorph energy (0 for the lowest one) in eV/atom: 0.013
Space-group type: P1

(10)
Density functional theory data (GGA+U) for an optimized crystal structure of Li2MnCo3O8.

Unit cell a=5.658 b=5.658 c=5.778 alpha=63.21 beta=63.21 gamma=60.37
Atoms (fractional coordinates):
Li (0.000, 0.500, 0.500)
Li (0.500, 0.000, 0.500)
Mn (0.000, 0.000, 0.000)
Co (0.500, 0.500, 0.000)
Co (0.000, 0.500, 0.000)
Co (0.500, 0.000, 0.000)
O (0.236, 0.727, 0.799)
O (0.727, 0.236, 0.799)
O (0.727, 0.727, 0.796)
O (0.230, 0.230, 0.791)
O (0.770, 0.770, 0.209)
O (0.273, 0.273, 0.204)
O (0.273, 0.764, 0.201)
O (0.764, 0.273, 0.201)

Properties
Total magnetic moment in μB/f.u.: 3.98
Polymorph energy (0 for the lowest one) in eV/atom: 0.052
Space-group type: C2/m

(11)
Density functional theory data (GGA+U) for an optimized crystal structure of Li5Mn3Co2O10.

Unit cell a=7.871 b=5.075 c=6.507 alpha=60.05 beta=93.28 gamma=122.28
Atoms (fractional coordinates):
Li (0.899, 0.621, 0.588)
Li (0.293, 0.178, 0.215)
Li (0.500, 0.500, 0.500)
Li (0.707, 0.822, 0.785)
Li (0.101, 0.379, 0.412)
Mn (0.500, 0.000, 0.000)
Mn (0.898, 0.098, 0.107)
Mn (0.102, 0.902, 0.893)
Co (0.694, 0.288, 0.316)
Co (0.306, 0.712, 0.684)
O (0.621, 0.705, 0.137)
O (0.176, 0.543, 0.047)
O (0.808, 0.970, 0.425)
O (0.011, 0.225, 0.775)
O (0.409, 0.878, 0.329)
O (0.591, 0.122, 0.671)
O (0.989, 0.775, 0.225)
O (0.192, 0.030, 0.575)
O (0.824, 0.457, 0.953)
O (0.379, 0.295, 0.863)

Properties
Total magnetic moment in μB/f.u.: 16.03
Polymorph energy (0 for the lowest one) in eV/atom: 0.000
Space-group type: P-1

(12)
Density functional theory data (GGA+U) for an optimized crystal structure of Li7Mn4CoO12.

Unit cell a=7.965 b=7.965 c=11.746 alpha=56.01 beta=56.01 gamma=20.82
Atoms (fractional coordinates):
Li (0.996, 0.996, 0.258)
Li (0.347, 0.347, 0.741)
Li (0.653, 0.653, 0.259)
Li (0.004, 0.004, 0.742)
Li (0.332, 0.332, 0.245)
Li (0.668, 0.668, 0.755)
Li (0.000, 0.000, 0.500)
Mn (0.338, 0.338, 0.498)
Mn (0.662, 0.662, 0.502)
Mn (0.663, 0.663, 0.003)
Mn (0.337, 0.337, 0.997)
Co (0.000, 0.000, 0.000)
O (0.824, 0.824, 0.394)
O (0.170, 0.170, 0.885)
O (0.480, 0.480, 0.386)
O (0.841, 0.841, 0.879)
O (0.169, 0.169, 0.387)
O (0.507, 0.507, 0.885)
O (0.159, 0.159, 0.121)
O (0.520, 0.520, 0.614)
O (0.830, 0.830, 0.115)
O (0.176, 0.176, 0.606)
O (0.493, 0.493, 0.115)
O (0.831, 0.831, 0.613)

Properties
Total magnetic moment in μB/f.u.: 16.00
Polymorph energy (0 for the lowest one) in eV/atom: 0.039
Space-group type: C2/m

(13)
Density functional theory data (GGA+U) for an optimized crystal structure of Li4MnCo2O7.

Unit cell a=9.790 b=9.790 c=9.776 alpha=64.92 beta=64.92 gamma=17.13
Atoms (fractional coordinates):
Li (0.084, 0.084, 0.210)
Li (0.781, 0.781, 0.355)
Li (0.500, 0.500, 0.494)
Li (0.216, 0.216, 0.657)
Li (0.925, 0.925, 0.785)
Li (0.650, 0.650, 0.931)
Li (0.349, 0.349, 0.077)
Li (0.717, 0.717, 0.150)
Mn (0.004, 0.004, 0.993)
Mn (0.857, 0.857, 0.574)
Co (0.430, 0.430, 0.283)
Co (0.143, 0.143, 0.423)
Co (0.573, 0.573, 0.706)
Co (0.278, 0.278, 0.884)
O (0.536, 0.536, 0.083)
O (0.240, 0.240, 0.277)
O (0.956, 0.956, 0.402)
O (0.667, 0.667, 0.531)
O (0.389, 0.389, 0.669)
O (0.102, 0.102, 0.815)
O (0.824, 0.824, 0.958)
O (0.611, 0.611, 0.337)
O (0.324, 0.324, 0.481)
O (0.044, 0.044, 0.602)
O (0.758, 0.758, 0.746)
O (0.478, 0.478, 0.887)
O (0.182, 0.182, 0.030)
O (0.905, 0.905, 0.158)

Properties
Fermi-level density of states in states/eV/cell: 1.1
Total magnetic moment in μB/f.u.: 1.02
Polymorph energy (0 for the lowest one) in eV/atom: 0.072
Space-group type: Cm